# CaYHg4 (PBE-GGA, optimized geometry)
# Offset from the most stable computed form in eV per atom: 0.180
# ΔH_f (0 K) in meV/atom: -248.4
data_CaYHg4
_cell_length_a 5.995
_cell_length_b 5.995
_cell_length_c 5.995
_cell_angle_alpha 60.00
_cell_angle_beta 60.00
_cell_angle_gamma 60.00
_space_group_name_H-M_alt 'P 1'
_space_group_IT_number 1
_space_group_name_Hall 'P 1'
loop_
_atom_site_label
_atom_site_fract_x
_atom_site_fract_y
_atom_site_fract_z
Ca1 0.000 0.000 0.000
Y1 0.750 0.750 0.750
Hg1 0.874 0.375 0.375
Hg2 0.375 0.375 0.874
Hg3 0.375 0.874 0.375
Hg4 0.375 0.375 0.375

***

# PmSm2Ho3Se6 (PBE-GGA, optimized geometry)
# Energy relative to the elements, uncorrected in meV/atom: -1778
data_PmSm2Ho3Se6
_cell_length_a 7.098
_cell_length_b 7.098
_cell_length_c 7.212
_cell_angle_alpha 99.42
_cell_angle_beta 99.42
_cell_angle_gamma 120.31
_space_group_name_H-M_alt 'P 1'
_space_group_IT_number 1
_space_group_name_Hall 'P 1'
loop_
_atom_site_label
_atom_site_fract_x
_atom_site_fract_y
_atom_site_fract_z
Pm1 0.000 0.000 0.000
Sm1 0.334 0.666 0.000
Sm2 0.666 0.334 0.000
Ho1 0.166 0.834 0.500
Ho2 0.834 0.166 0.500
Ho3 0.500 0.500 0.500
Se1 0.913 0.578 0.738
Se2 0.753 0.753 0.261
Se3 0.087 0.422 0.262
Se4 0.578 0.913 0.738
Se5 0.247 0.247 0.739
Se6 0.422 0.087 0.262

***

# Li2GaPd2 (PBE-GGA, optimized geometry)
# Offset from the most stable computed form in eV per atom: 0.162
# ΔH_f (0 K) in meV/atom: -410.1
data_Li2GaPd2
_cell_length_a 6.859
_cell_length_b 6.859
_cell_length_c 2.893
_cell_angle_alpha 90.00
_cell_angle_beta 90.00
_cell_angle_gamma 90.00
_space_group_name_H-M_alt 'P 1'
_space_group_IT_number 1
_space_group_name_Hall 'P 1'
loop_
_atom_site_label
_atom_site_fract_x
_atom_site_fract_y
_atom_site_fract_z
Ga1 0.000 0.000 0.000
Ga2 0.500 0.500 0.000
Pd1 0.186 0.686 0.500
Pd2 0.686 0.814 0.500
Pd3 0.814 0.314 0.500
Pd4 0.314 0.186 0.500
Li1 0.383 0.883 0.000
Li2 0.883 0.617 0.000
Li3 0.617 0.117 0.000
Li4 0.117 0.383 0.000

***

# Er8FePt2 (PBE-GGA, optimized geometry)
# ΔH_f (0 K) in meV/atom: -398.4
data_Er8FePt2
_cell_length_a 5.917
_cell_length_b 7.500
_cell_length_c 7.500
_cell_angle_alpha 112.35
_cell_angle_beta 101.30
_cell_angle_gamma 101.30
_space_group_name_H-M_alt 'P 1'
_space_group_IT_number 1
_space_group_name_Hall 'P 1'
loop_
_atom_site_label
_atom_site_fract_x
_atom_site_fract_y
_atom_site_fract_z
Fe1 0.165 0.997 0.997
Pt1 0.484 0.693 0.322
Pt2 0.484 0.322 0.693
Er1 0.579 0.339 0.084
Er2 0.579 0.084 0.339
Er3 0.169 0.351 0.351
Er4 0.991 0.204 0.794
Er5 0.991 0.794 0.204
Er6 0.808 0.650 0.650
Er7 0.374 0.927 0.673
Er8 0.374 0.673 0.927

***

# Nd15Er4Tm (PBE-GGA, optimized geometry)
# ΔH_f (0 K) in meV/atom: 10.2
data_Nd15Er4Tm
_cell_length_a 5.147
_cell_length_b 5.147
_cell_length_c 25.617
_cell_angle_alpha 90.00
_cell_angle_beta 90.00
_cell_angle_gamma 90.00
_space_group_name_H-M_alt 'P 1'
_space_group_IT_number 1
_space_group_name_Hall 'P 1'
loop_
_atom_site_label
_atom_site_fract_x
_atom_site_fract_y
_atom_site_fract_z
Nd1 0.500 0.500 0.000
Nd2 0.500 0.500 0.200
Nd3 0.500 0.500 0.400
Nd4 0.500 0.500 0.600
Nd5 0.500 0.500 0.800
Nd6 0.500 0.000 0.100
Nd7 0.500 0.000 0.300
Nd8 0.500 0.000 0.500
Nd9 0.500 0.000 0.700
Nd10 0.500 0.000 0.900
Nd11 0.000 0.500 0.100
Nd12 0.000 0.500 0.300
Nd13 0.000 0.500 0.500
Nd14 0.000 0.500 0.700
Nd15 0.000 0.500 0.900
Er1 0.000 0.000 0.200
Er2 0.000 0.000 0.400
Er3 0.000 0.000 0.600
Er4 0.000 0.000 0.800
Tm1 0.000 0.000 0.000

***

# NaMg6CO8 (PBE-GGA, optimized geometry)
# Energy relative to the elements, uncorrected in meV/atom: -1811
# Offset from the most stable computed form in eV per atom: 0.064
data_NaMg6CO8
_cell_length_a 4.234
_cell_length_b 4.234
_cell_length_c 8.542
_cell_angle_alpha 90.00
_cell_angle_beta 90.00
_cell_angle_gamma 90.00
_space_group_name_H-M_alt 'P 1'
_space_group_IT_number 1
_space_group_name_Hall 'P 1'
loop_
_atom_site_label
_atom_site_fract_x
_atom_site_fract_y
_atom_site_fract_z
Na1 0.000 0.000 0.000
Mg1 0.000 0.000 0.500
Mg2 0.500 0.500 0.500
Mg3 0.000 0.500 0.241
Mg4 0.000 0.500 0.759
Mg5 0.500 0.000 0.241
Mg6 0.500 0.000 0.759
C1 0.500 0.500 0.000
O1 0.000 0.000 0.263
O2 0.000 0.000 0.737
O3 0.500 0.500 0.227
O4 0.500 0.500 0.773
O5 0.000 0.500 0.000
O6 0.000 0.500 0.500
O7 0.500 0.000 0.000
O8 0.500 0.000 0.500

***

# TbEuGaHg (PBE-GGA, optimized geometry)
# ΔH_f (0 K) in meV/atom: -485.2
data_TbEuGaHg
_cell_length_a 5.304
_cell_length_b 5.304
_cell_length_c 5.304
_cell_angle_alpha 60.00
_cell_angle_beta 60.00
_cell_angle_gamma 60.00
_space_group_name_H-M_alt 'P 1'
_space_group_IT_number 1
_space_group_name_Hall 'P 1'
loop_
_atom_site_label
_atom_site_fract_x
_atom_site_fract_y
_atom_site_fract_z
Eu1 0.000 0.000 0.000
Tb1 0.500 0.500 0.500
Hg1 0.250 0.250 0.250
Ga1 0.750 0.750 0.750

***

# Ta2SbCl (PBE-GGA, optimized geometry)
# Energy relative to the elements, uncorrected in meV/atom: 549
# Offset from the most stable computed form in eV per atom: 0.763
data_Ta2SbCl
_cell_length_a 5.079
_cell_length_b 5.079
_cell_length_c 5.079
_cell_angle_alpha 128.66
_cell_angle_beta 128.66
_cell_angle_gamma 75.55
_space_group_name_H-M_alt 'P 1'
_space_group_IT_number 1
_space_group_name_Hall 'P 1'
loop_
_atom_site_label
_atom_site_fract_x
_atom_site_fract_y
_atom_site_fract_z
Cl1 0.500 0.500 0.000
Sb1 0.750 0.250 0.500
Ta1 0.000 0.000 0.000
Ta2 0.250 0.750 0.500

***

Calculated E in order - -1.860, -5.847, -3.858, -5.584, -4.702, -5.547, -5.044, -6.869 eV/atom